1.
# Tl3Pt

A geometry-optimized Tl3Pt structure (GGA-PBEsol, Alexandria via LeMat-Bulk).

Lattice parameters (Å, degrees): 3.2819 3.4581 8.3729 90.00 90.00 90.00
Closest atoms and distances in Å follow each position.
Sites, in units of the cell vectors:
Tl 0.0000 0.0000 0.0000  12 Tl 3.28-3.46
Tl 0.5000 0.5000 0.2996  4 Pt 2.91
Tl 0.5000 0.5000 0.7004  4 Pt 2.91
Pt 0.0000 0.0000 0.5000  8 Tl 2.91

Results
As for the relative energy among the computed polymorphs: 0.000 eV/atom.

***

2.
# TlPt

A geometry-optimized TlPt structure (GGA-PBEsol, Alexandria via LeMat-Bulk).

Lattice parameters (Å, degrees): 6.3026 6.3026 6.3026 40.24 40.24 40.24
Closest atoms and distances in Å follow each position.
Sites, in units of the cell vectors:
Tl 0.1043 0.1043 0.1043  6 Pt 3.08-3.10, 3 Tl 3.31
Tl 0.8957 0.8957 0.8957  6 Pt 3.08-3.10, 3 Tl 3.31
Pt 0.3345 0.3345 0.3345  3 Pt 2.50
Pt 0.6655 0.6655 0.6655  3 Pt 2.50

Results
The electronic total energy comes out at -18.68 eV per cell.

***

3.
# Tl2Pt

A geometry-optimized Tl2Pt structure (GGA-PBEsol, Alexandria via LeMat-Bulk).

Lattice parameters (Å, degrees): 6.6982 6.6982 6.6982 90.00 90.00 90.00
Closest atoms and distances in Å follow each position.
Sites, in units of the cell vectors:
Tl 0.1697 0.1697 0.1697  3 Pt 2.73
Tl 0.1697 0.3303 0.6697  3 Pt 2.73
Tl 0.3303 0.6697 0.1697  3 Pt 2.73
Tl 0.3303 0.8303 0.6697  3 Pt 2.73
Tl 0.6697 0.1697 0.3303  3 Pt 2.73
Tl 0.6697 0.3303 0.8303  3 Pt 2.73
Tl 0.8303 0.6697 0.3303  3 Pt 2.73
Tl 0.8303 0.8303 0.8303  3 Pt 2.73
Pt 0.0000 0.0000 0.5000  6 Tl 2.73
Pt 0.0000 0.5000 0.0000  6 Tl 2.73
Pt 0.5000 0.0000 0.0000  6 Tl 2.73
Pt 0.5000 0.5000 0.5000  6 Tl 2.73

Results
The electronic total energy comes out at -49.35 eV per cell.

***

4.
# Tl5Pt

A geometry-optimized Tl5Pt structure (GGA-PBEsol, Alexandria via LeMat-Bulk).

Lattice parameters (Å, degrees): 6.1473 6.1473 8.5359 113.47 113.47 31.62
Closest atoms and distances in Å follow each position.
Sites, in units of the cell vectors:
Tl 0.0000 0.0000 0.0000  12 Tl 3.29-3.64
Tl 0.3261 0.3261 0.2093  2 Pt 2.99, 3 Tl 3.30-3.35
Tl 0.3676 0.3676 0.6371  2 Pt 2.85
Tl 0.6324 0.6324 0.3629  2 Pt 2.85
Tl 0.6739 0.6739 0.7907  2 Pt 2.99, 3 Tl 3.30-3.35
Pt 0.0000 0.0000 0.5000  8 Tl 2.85-2.99

Results
As for the relative energy among the computed polymorphs: 0.000 eV/atom.

***

5.
# TlPt

A geometry-optimized TlPt structure (GGA-PBEsol, Alexandria via LeMat-Bulk).

Lattice parameters (Å, degrees): 3.6094 3.6094 2.9528 90.00 90.00 97.10
Closest atoms and distances in Å follow each position.
Sites, in units of the cell vectors:
Tl 0.0000 0.0000 0.0000  8 Pt 2.81-3.08, 2 Tl 2.95
Pt 0.5000 0.5000 0.5000  8 Tl 2.81-3.08, 2 Pt 2.95

Results
The electronic total energy comes out at -9.37 eV per cell.

***

6.
# TlPt2

A geometry-optimized TlPt2 structure (GGA-PBEsol, Alexandria via LeMat-Bulk).

Lattice parameters (Å, degrees): 5.5286 5.5286 4.6129 90.00 90.00 57.63
Closest atoms and distances in Å follow each position.
Sites, in units of the cell vectors:
Tl 0.2325 0.7675 0.7500  4 Pt 2.73-2.93
Tl 0.7675 0.2325 0.2500  4 Pt 2.73-2.93
Pt 0.1048 0.3549 0.7500  6 Pt 2.66-2.69, 2 Tl 2.73-2.93
Pt 0.3549 0.1048 0.2500  6 Pt 2.66-2.69, 2 Tl 2.73-2.93
Pt 0.6451 0.8952 0.7500  6 Pt 2.66-2.69, 2 Tl 2.73-2.93
Pt 0.8952 0.6451 0.2500  6 Pt 2.66-2.69, 2 Tl 2.73-2.93

Results
As for the relative energy among the computed polymorphs: 0.033 eV/atom.

***

7.
# Tl5Pt

A geometry-optimized Tl5Pt structure (GGA-PBEsol, Alexandria via LeMat-Bulk).

Lattice parameters (Å, degrees): 3.3460 3.3460 13.5025 90.00 90.00 90.00
Closest atoms and distances in Å follow each position.
Sites, in units of the cell vectors:
Tl 0.0000 0.0000 0.0000  12 Tl 3.35-3.46
Tl 0.0000 0.0000 0.3741  4 Pt 2.91
Tl 0.0000 0.0000 0.6259  4 Pt 2.91
Tl 0.5000 0.5000 0.1869  12 Tl 3.35-3.46
Tl 0.5000 0.5000 0.8131  12 Tl 3.35-3.46
Pt 0.5000 0.5000 0.5000  8 Tl 2.91

Results
As for the relative energy among the computed polymorphs: 0.005 eV/atom.

***

8.
# Tl3Pt

A geometry-optimized Tl3Pt structure (GGA-PBEsol, Alexandria via LeMat-Bulk).

Lattice parameters (Å, degrees): 9.0733 9.0733 3.8113 90.00 90.00 141.20
Closest atoms and distances in Å follow each position.
Sites, in units of the cell vectors:
Tl 0.1698 0.3242 0.7500  2 Pt 2.84, 2 Tl 2.98-3.05
Tl 0.2196 0.7804 0.7500  2 Pt 2.78
Tl 0.3242 0.1698 0.2500  2 Pt 2.84, 2 Tl 2.98-3.05
Tl 0.6758 0.8302 0.7500  2 Pt 2.84, 2 Tl 2.98-3.05
Tl 0.7804 0.2196 0.2500  2 Pt 2.78
Tl 0.8302 0.6758 0.2500  2 Pt 2.84, 2 Tl 2.98-3.05
Pt 0.3377 0.6623 0.2500  6 Tl 2.78-2.84
Pt 0.6623 0.3377 0.7500  6 Tl 2.78-2.84

Results
As for the relative energy among the computed polymorphs: 0.004 eV/atom.

***

9.
# Tl3Pt2

A geometry-optimized Tl3Pt2 structure (GGA-PBEsol, Alexandria via LeMat-Bulk).

Lattice parameters (Å, degrees): 4.7273 4.7273 5.5856 90.00 90.00 120.00
Closest atoms and distances in Å follow each position.
Sites, in units of the cell vectors:
Tl 0.0000 0.0000 0.0000  6 Pt 2.85
Tl 0.3333 0.6667 0.3547  5 Pt 2.77-2.96
Tl 0.6667 0.3333 0.6453  5 Pt 2.77-2.96
Pt 0.3333 0.6667 0.8506  8 Tl 2.77-2.96
Pt 0.6667 0.3333 0.1494  8 Tl 2.77-2.96

Results
The electronic total energy comes out at -21.95 eV per cell.

***

10.
# TlPt3

A geometry-optimized TlPt3 structure (GGA-PBEsol, Alexandria via LeMat-Bulk).

Lattice parameters (Å, degrees): 5.2907 5.2907 5.2907 116.88 116.88 116.88
Closest atoms and distances in Å follow each position.
Sites, in units of the cell vectors:
Tl 0.0000 0.0000 0.0000  6 Pt 2.77, 2 Tl 2.84
Pt 0.0000 0.5000 0.5000  6 Pt 2.77-2.84, 2 Tl 2.77
Pt 0.5000 0.0000 0.5000  2 Tl 2.77, 6 Pt 2.77-2.84
Pt 0.5000 0.5000 0.0000  6 Pt 2.77-2.84, 2 Tl 2.77

Results
The electronic total energy comes out at -22.94 eV per cell.

***

11.
# Tl2Pt

A geometry-optimized Tl2Pt structure (GGA-PBEsol, Alexandria via LeMat-Bulk).

Lattice parameters (Å, degrees): 5.7636 5.7636 5.7636 102.92 102.92 123.57
Closest atoms and distances in Å follow each position.
Sites, in units of the cell vectors:
Tl 0.1561 0.6561 0.8122  2 Pt 2.71
Tl 0.3439 0.1561 0.5000  2 Pt 2.71
Tl 0.6561 0.8439 0.5000  2 Pt 2.71
Tl 0.8439 0.3439 0.1878  2 Pt 2.71
Pt 0.0000 0.0000 0.0000  4 Tl 2.71, 2 Pt 2.73
Pt 0.5000 0.5000 0.0000  4 Tl 2.71, 2 Pt 2.73

Results
The electronic total energy comes out at -24.32 eV per cell.

***

12.
# TlPt2

A geometry-optimized TlPt2 structure (GGA-PBEsol, Alexandria via LeMat-Bulk).

Lattice parameters (Å, degrees): 5.3814 5.3814 5.3814 60.00 60.00 60.00
Closest atoms and distances in Å follow each position.
Sites, in units of the cell vectors:
Tl 0.1250 0.1250 0.1250  12 Pt 3.16, 4 Tl 3.30
Tl 0.8750 0.8750 0.8750  12 Pt 3.16, 4 Tl 3.30
Pt 0.0000 0.5000 0.5000  6 Pt 2.69
Pt 0.5000 0.0000 0.5000  6 Pt 2.69
Pt 0.5000 0.5000 0.0000  6 Pt 2.69
Pt 0.5000 0.5000 0.5000  6 Pt 2.69

Results
As for the relative energy among the computed polymorphs: 0.000 eV/atom.

***

13.
# Tl3Pt

A geometry-optimized Tl3Pt structure (GGA-PBEsol, Alexandria via LeMat-Bulk).

Lattice parameters (Å, degrees): 5.5420 5.5420 5.5420 140.37 81.09 112.63
Closest atoms and distances in Å follow each position.
Sites, in units of the cell vectors:
Tl 0.0000 0.0000 0.0000  2 Pt 2.80, 2 Tl 3.12
Tl 0.3729 0.5659 0.8070  3 Pt 2.85-3.08, 1 Tl 3.12
Tl 0.7589 0.5659 0.1930  3 Pt 2.85-3.08, 1 Tl 3.12
Pt 0.3375 0.8375 0.5000  8 Tl 2.80-3.08

Results
As for the relative energy among the computed polymorphs: 0.005 eV/atom.

***

For reference, ρ by record: 14.1; 14.1; 13.3; 13.1; 17.4; 16.6; 13.4; 13.7; 15.4; 19.7; 14.3; 17.9; 13.8 Mg/m³.